(1)
DFT (GGA-PBE) results for a relaxed La2NbAg crystal.

Structure (CIF):
```
data_La2NbAg
_cell_length_a 7.587
_cell_length_b 7.587
_cell_length_c 7.587
_cell_angle_alpha 90.00
_cell_angle_beta 90.00
_cell_angle_gamma 90.00
_symmetry_space_group_name_H-M 'F m -3 m'
_symmetry_Int_Tables_number 225
_symmetry_space_group_name_Hall '-F 4 2 3'
loop_
_atom_site_label
_atom_site_type_symbol
_atom_site_fract_x
_atom_site_fract_y
_atom_site_fract_z
La1 La 0.250 0.250 0.250
Nb1 Nb 0.000 0.000 0.000
Ag1 Ag 0.000 0.000 0.500
```

Properties
Excess energy over the best structure of this formula in the dataset (eV per formula unit): 0.00
Formation energy (eV per formula unit): 0.98

(2)
DFT (GGA-PBE) results for a relaxed TlFe2Pt crystal.

Structure (CIF):
```
data_TlFe2Pt
_cell_length_a 6.165
_cell_length_b 6.165
_cell_length_c 6.165
_cell_angle_alpha 90.00
_cell_angle_beta 90.00
_cell_angle_gamma 90.00
_symmetry_space_group_name_H-M 'F m -3 m'
_symmetry_Int_Tables_number 225
_symmetry_space_group_name_Hall '-F 4 2 3'
loop_
_atom_site_label
_atom_site_type_symbol
_atom_site_fract_x
_atom_site_fract_y
_atom_site_fract_z
Tl1 Tl 0.000 0.000 0.000
Fe1 Fe 0.250 0.250 0.250
Pt1 Pt 0.000 0.000 0.500
```

Properties
Excess energy over the best structure of this formula in the dataset (eV per formula unit): 1.67
Formation energy (eV per formula unit): 2.43

(3)
DFT (GGA-PBE) results for a relaxed Ni2OsPb crystal.

Structure (CIF):
```
data_Ni2OsPb
_cell_length_a 4.479
_cell_length_b 3.032
_cell_length_c 4.606
_cell_angle_alpha 90.00
_cell_angle_beta 105.15
_cell_angle_gamma 90.00
_symmetry_space_group_name_H-M 'P 1 2/m 1'
_symmetry_Int_Tables_number 10
loop_
_symmetry_equiv_pos_as_xyz
'x,y,z'
'-x,-y,-z'
'-x,y,-z'
'x,-y,z'
loop_
_atom_site_label
_atom_site_type_symbol
_atom_site_fract_x
_atom_site_fract_y
_atom_site_fract_z
Ni1 Ni 0.000 0.000 0.000
Ni2 Ni 0.000 0.500 0.500
Os1 Os 0.500 0.000 0.500
Pb1 Pb 0.500 0.500 0.000
```

Properties
Formation energy (eV per formula unit): 2.48

(4)
DFT (GGA-PBE) results for a relaxed Ti3PdO crystal.

Structure (CIF):
```
data_Ti3PdO
_cell_length_a 4.765
_cell_length_b 4.765
_cell_length_c 4.765
_cell_angle_alpha 90.00
_cell_angle_beta 90.00
_cell_angle_gamma 90.00
_symmetry_space_group_name_H-M 'P m -3 m'
_symmetry_Int_Tables_number 221
_symmetry_space_group_name_Hall '-P 4 2 3'
loop_
_atom_site_label
_atom_site_type_symbol
_atom_site_fract_x
_atom_site_fract_y
_atom_site_fract_z
Ti1 Ti 0.000 0.000 0.500
Pd1 Pd 0.000 0.000 0.000
O1 O 0.500 0.500 0.500
```

(5)
DFT (GGA-PBE) results for a relaxed HfBi crystal.

Structure (CIF):
```
data_HfBi
_cell_length_a 5.0731
_cell_length_b 5.0731
_cell_length_c 5.8796
_cell_angle_alpha 90.00
_cell_angle_beta 90.00
_cell_angle_gamma 120.00
_symmetry_space_group_name_H-M 'P 63/m m c'
_symmetry_Int_Tables_number 194
_symmetry_space_group_name_Hall '-P 6c 2c'
loop_
_atom_site_label
_atom_site_type_symbol
_atom_site_fract_x
_atom_site_fract_y
_atom_site_fract_z
Hf1 Hf 0.3333 0.6667 0.2500
Bi1 Bi 0.3333 0.6667 0.7500
```

Properties
Formation energy (eV per formula unit): 0.74

(6)
DFT (GGA-PBE) results for a relaxed CePbS2O crystal.

Structure (CIF):
```
data_CePbS2O
_cell_length_a 3.969
_cell_length_b 3.969
_cell_length_c 13.800
_cell_angle_alpha 90.00
_cell_angle_beta 90.00
_cell_angle_gamma 90.00
_symmetry_space_group_name_H-M 'P 4/n m m'
_symmetry_Int_Tables_number 129
loop_
_symmetry_equiv_pos_as_xyz
'x,y,z'
'-x,-y,-z'
'-y+1/2,x,z'
'y+1/2,-x,-z'
'-x+1/2,-y+1/2,z'
'x+1/2,y+1/2,-z'
'y,-x+1/2,z'
'-y,x+1/2,-z'
'x+1/2,-y,-z'
'-x+1/2,y,z'
'-y,-x,-z'
'y,x,z'
'-x,y+1/2,-z'
'x,-y+1/2,z'
'y+1/2,x+1/2,-z'
'-y+1/2,-x+1/2,z'
loop_
_atom_site_label
_atom_site_type_symbol
_atom_site_fract_x
_atom_site_fract_y
_atom_site_fract_z
Ce1 Ce 0.250 0.250 0.091
Pb1 Pb 0.250 0.250 0.618
S1 S 0.250 0.250 0.389
S2 S 0.250 0.250 0.821
O1 O 0.250 0.750 0.000
```

(7)
DFT (GGA-PBE) results for a relaxed AcBeS2O8 crystal.

Structure (CIF):
```
data_AcBeS2O8
_cell_length_a 7.717
_cell_length_b 5.087
_cell_length_c 7.765
_cell_angle_alpha 90.00
_cell_angle_beta 98.61
_cell_angle_gamma 90.00
_symmetry_space_group_name_H-M 'C 1 2/m 1'
_symmetry_Int_Tables_number 12
loop_
_symmetry_equiv_pos_as_xyz
'x,y,z'
'-x,-y,-z'
'-x,y,-z'
'x,-y,z'
'x+1/2,y+1/2,z'
'-x+1/2,-y+1/2,-z'
'-x+1/2,y+1/2,-z'
'x+1/2,-y+1/2,z'
loop_
_atom_site_label
_atom_site_type_symbol
_atom_site_fract_x
_atom_site_fract_y
_atom_site_fract_z
Ac1 Ac 0.000 0.000 0.000
Be1 Be 0.000 0.000 0.500
S1 S 0.127 0.500 0.304
O1 O 0.019 0.259 0.317
O2 O 0.175 0.500 0.122
O3 O 0.221 0.000 0.558
```

(8)
DFT (GGA-PBE) results for a relaxed Ac2TaSe6 crystal.

Structure (CIF):
```
data_Ac2TaSe6
_cell_length_a 6.458
_cell_length_b 8.068
_cell_length_c 11.520
_cell_angle_alpha 90.00
_cell_angle_beta 122.29
_cell_angle_gamma 90.00
_symmetry_space_group_name_H-M 'P 1 21/c 1'
_symmetry_Int_Tables_number 14
loop_
_symmetry_equiv_pos_as_xyz
'x,y,z'
'-x,-y,-z'
'-x,y+1/2,-z+1/2'
'x,-y+1/2,z+1/2'
loop_
_atom_site_label
_atom_site_type_symbol
_atom_site_fract_x
_atom_site_fract_y
_atom_site_fract_z
Ac1 Ac 0.204 0.108 0.260
Ta1 Ta 0.500 0.000 0.000
Se1 Se 0.120 0.164 0.958
Se2 Se 0.294 0.710 0.957
Se3 Se 0.321 0.018 0.740
```

(9)
DFT (GGA-PBE) results for a relaxed TaNb2Ir3 crystal.

Structure (CIF):
```
data_TaNb2Ir3
_cell_length_a 2.880
_cell_length_b 2.880
_cell_length_c 11.673
_cell_angle_alpha 90.00
_cell_angle_beta 90.00
_cell_angle_gamma 90.00
_symmetry_space_group_name_H-M 'P 4/m m m'
_symmetry_Int_Tables_number 123
_symmetry_space_group_name_Hall '-P 4 2'
loop_
_atom_site_label
_atom_site_type_symbol
_atom_site_fract_x
_atom_site_fract_y
_atom_site_fract_z
Ta1 Ta 0.000 0.000 0.000
Nb1 Nb 0.000 0.000 0.333
Ir1 Ir 0.500 0.500 0.164
Ir2 Ir 0.500 0.500 0.500
```

Properties
Formation energy (eV per formula unit): -3.29

(10)
DFT (GGA-PBE) results for a relaxed Pm2TlH2 crystal.

Structure (CIF):
```
data_Pm2TlH2
_cell_length_a 6.369
_cell_length_b 10.257
_cell_length_c 6.654
_cell_angle_alpha 90.00
_cell_angle_beta 118.48
_cell_angle_gamma 90.00
_symmetry_space_group_name_H-M 'C 1 2/c 1'
_symmetry_Int_Tables_number 15
loop_
_symmetry_equiv_pos_as_xyz
'x,y,z'
'-x,-y,-z'
'-x,y,-z+1/2'
'x,-y,z+1/2'
'x+1/2,y+1/2,z'
'-x+1/2,-y+1/2,-z'
'-x+1/2,y+1/2,-z+1/2'
'x+1/2,-y+1/2,z+1/2'
loop_
_atom_site_label
_atom_site_type_symbol
_atom_site_fract_x
_atom_site_fract_y
_atom_site_fract_z
Pm1 Pm 0.000 0.054 0.250
Pm2 Pm 0.000 0.306 0.750
Tl1 Tl 0.000 0.374 0.250
H1 H 0.119 0.126 0.990
```

Properties
Excess energy over the best structure of this formula in the dataset (eV per formula unit): 0.36

(11)
DFT (GGA-PBE) results for a relaxed LiHoPu2S5 crystal.

Structure (CIF):
```
data_LiHoPu2S5
_cell_length_a 3.903
_cell_length_b 16.293
_cell_length_c 11.759
_cell_angle_alpha 90.00
_cell_angle_beta 90.00
_cell_angle_gamma 90.00
_symmetry_space_group_name_H-M 'C m c 21'
_symmetry_Int_Tables_number 36
loop_
_symmetry_equiv_pos_as_xyz
'x,y,z'
'-x,-y,z+1/2'
'-x,y,z'
'x,-y,z+1/2'
'x+1/2,y+1/2,z'
'-x+1/2,-y+1/2,z+1/2'
'-x+1/2,y+1/2,z'
'x+1/2,-y+1/2,z+1/2'
loop_
_atom_site_label
_atom_site_type_symbol
_atom_site_fract_x
_atom_site_fract_y
_atom_site_fract_z
Li1 Li 0.000 0.015 0.000
Ho1 Ho 0.000 0.301 0.522
Pu1 Pu 0.000 0.375 0.818
Pu2 Pu 0.000 0.393 0.203
S1 S 0.000 0.002 0.302
S2 S 0.000 0.136 0.520
S3 S 0.000 0.189 0.864
S4 S 0.000 0.213 0.185
S5 S 0.000 0.453 0.595
```

(12)
DFT (GGA-PBE) results for a relaxed TlPd2Au crystal.

Structure (CIF):
```
data_TlPd2Au
_cell_length_a 3.450
_cell_length_b 3.450
_cell_length_c 6.026
_cell_angle_alpha 90.00
_cell_angle_beta 90.00
_cell_angle_gamma 90.00
_symmetry_space_group_name_H-M 'P 4/m m m'
_symmetry_Int_Tables_number 123
_symmetry_space_group_name_Hall '-P 4 2'
loop_
_atom_site_label
_atom_site_type_symbol
_atom_site_fract_x
_atom_site_fract_y
_atom_site_fract_z
Tl1 Tl 0.000 0.000 0.000
Pd1 Pd 0.500 0.500 0.253
Au1 Au 0.000 0.000 0.500
```

Properties
Excess energy over the best structure of this formula in the dataset (eV per formula unit): 0.30
Formation energy (eV per formula unit): -0.48

(13)
DFT (GGA-PBE) results for a relaxed LaTbCeMg crystal.

Structure (CIF):
```
data_LaTbCeMg
_cell_length_a 7.942
_cell_length_b 7.942
_cell_length_c 7.942
_cell_angle_alpha 90.00
_cell_angle_beta 90.00
_cell_angle_gamma 90.00
_symmetry_space_group_name_H-M 'F -4 3 m'
_symmetry_Int_Tables_number 216
_symmetry_space_group_name_Hall 'F -4 2 3'
loop_
_atom_site_label
_atom_site_type_symbol
_atom_site_fract_x
_atom_site_fract_y
_atom_site_fract_z
La1 La 0.000 0.000 0.000
Tb1 Tb 0.250 0.250 0.750
Ce1 Ce 0.000 0.000 0.500
Mg1 Mg 0.250 0.250 0.250
```

Properties
Excess energy over the best structure of this formula in the dataset (eV per formula unit): 0.00
Formation energy (eV per formula unit): 0.41

(14)
DFT (GGA-PBE) results for a relaxed B5C crystal.

Structure (CIF):
```
data_B5C
_cell_length_a 2.568
_cell_length_b 13.193
_cell_length_c 2.432
_cell_angle_alpha 90.00
_cell_angle_beta 90.00
_cell_angle_gamma 90.00
_symmetry_space_group_name_H-M 'C m m m'
_symmetry_Int_Tables_number 65
_symmetry_space_group_name_Hall '-C 2 2'
loop_
_atom_site_label
_atom_site_type_symbol
_atom_site_fract_x
_atom_site_fract_y
_atom_site_fract_z
B1 B 0.000 0.000 0.000
B2 B 0.000 0.296 0.500
B3 B 0.000 0.397 0.000
C1 C 0.000 0.500 0.500
```

Properties
Excess energy over the best structure of this formula in the dataset (eV per formula unit): 4.51
Formation energy (eV per formula unit): 5.69

(15)
DFT (GGA-PBE) results for a relaxed Tb3PrHo2P6 crystal.

Structure (CIF):
```
data_Tb3PrHo2P6
_cell_length_a 7.007
_cell_length_b 12.135
_cell_length_c 7.008
_cell_angle_alpha 90.00
_cell_angle_beta 109.47
_cell_angle_gamma 90.00
_symmetry_space_group_name_H-M 'C 1 2/m 1'
_symmetry_Int_Tables_number 12
loop_
_symmetry_equiv_pos_as_xyz
'x,y,z'
'-x,-y,-z'
'-x,y,-z'
'x,-y,z'
'x+1/2,y+1/2,z'
'-x+1/2,-y+1/2,-z'
'-x+1/2,y+1/2,-z'
'x+1/2,-y+1/2,z'
loop_
_atom_site_label
_atom_site_type_symbol
_atom_site_fract_x
_atom_site_fract_y
_atom_site_fract_z
Tb1 Tb 0.000 0.000 0.000
Tb2 Tb 0.000 0.335 0.000
Pr1 Pr 0.000 0.500 0.500
Ho1 Ho 0.000 0.167 0.500
P1 P 0.243 0.000 0.751
P2 P 0.246 0.170 0.248
```

Properties
Formation energy (eV per formula unit): -19.03

(16)
DFT (GGA-PBE) results for a relaxed ErSn5Te7 crystal.

Structure (CIF):
```
data_ErSn5Te7
_cell_length_a 4.377
_cell_length_b 15.042
_cell_length_c 26.036
_cell_angle_alpha 90.00
_cell_angle_beta 90.00
_cell_angle_gamma 90.00
_symmetry_space_group_name_H-M 'C m c 21'
_symmetry_Int_Tables_number 36
loop_
_symmetry_equiv_pos_as_xyz
'x,y,z'
'-x,-y,z+1/2'
'-x,y,z'
'x,-y,z+1/2'
'x+1/2,y+1/2,z'
'-x+1/2,-y+1/2,z+1/2'
'-x+1/2,y+1/2,z'
'x+1/2,-y+1/2,z+1/2'
loop_
_atom_site_label
_atom_site_type_symbol
_atom_site_fract_x
_atom_site_fract_y
_atom_site_fract_z
Er1 Er 0.000 0.208 0.000
Sn1 Sn 0.000 0.014 0.761
Sn2 Sn 0.000 0.256 0.337
Sn3 Sn 0.000 0.287 0.687
Sn4 Sn 0.000 0.443 0.112
Sn5 Sn 0.000 0.476 0.913
Te1 Te 0.000 0.071 0.156
Te2 Te 0.000 0.118 0.887
Te3 Te 0.000 0.175 0.444
Te4 Te 0.000 0.206 0.579
Te5 Te 0.000 0.349 0.224
Te6 Te 0.000 0.378 0.800
Te7 Te 0.000 0.433 0.517
```

(17)
DFT (GGA-PBE) results for a relaxed PmSm4Ho8 crystal.

Structure (CIF):
```
data_PmSm4Ho8
_cell_length_a 7.781
_cell_length_b 7.781
_cell_length_c 7.781
_cell_angle_alpha 90.00
_cell_angle_beta 90.00
_cell_angle_gamma 90.00
_symmetry_space_group_name_H-M 'P m -3 m'
_symmetry_Int_Tables_number 221
_symmetry_space_group_name_Hall '-P 4 2 3'
loop_
_atom_site_label
_atom_site_type_symbol
_atom_site_fract_x
_atom_site_fract_y
_atom_site_fract_z
Pm1 Pm 0.000 0.000 0.000
Sm1 Sm 0.000 0.000 0.500
Sm2 Sm 0.500 0.500 0.500
Ho1 Ho 0.261 0.261 0.261
```

Properties
Formation energy (eV per formula unit): 6.71

(18)
DFT (GGA-PBE) results for a relaxed CeMg2Hg crystal.

Structure (CIF):
```
data_CeMg2Hg
_cell_length_a 3.1415
_cell_length_b 3.1415
_cell_length_c 34.3079
_cell_angle_alpha 90.00
_cell_angle_beta 90.00
_cell_angle_gamma 120.00
_symmetry_space_group_name_H-M 'R -3 m'
_symmetry_Int_Tables_number 166
_symmetry_space_group_name_Hall '-R 3 2"'
loop_
_atom_site_label
_atom_site_type_symbol
_atom_site_fract_x
_atom_site_fract_y
_atom_site_fract_z
Ce1 Ce 0.0000 0.0000 0.0000
Mg1 Mg 0.0000 0.0000 0.0948
Hg1 Hg 0.0000 0.0000 0.5000
```

Properties
Excess energy over the best structure of this formula in the dataset (eV per formula unit): 1.18
Formation energy (eV per formula unit): 0.38

(19)
DFT (GGA-PBE) results for a relaxed ReNi3Pd crystal.

Structure (CIF):
```
data_ReNi3Pd
_cell_length_a 4.447
_cell_length_b 4.447
_cell_length_c 4.447
_cell_angle_alpha 90.00
_cell_angle_beta 90.00
_cell_angle_gamma 90.00
_symmetry_space_group_name_H-M 'P m -3 m'
_symmetry_Int_Tables_number 221
_symmetry_space_group_name_Hall '-P 4 2 3'
loop_
_atom_site_label
_atom_site_type_symbol
_atom_site_fract_x
_atom_site_fract_y
_atom_site_fract_z
Re1 Re 0.000 0.000 0.000
Ni1 Ni 0.000 0.000 0.500
Pd1 Pd 0.500 0.500 0.500
```

Properties
Excess energy over the best structure of this formula in the dataset (eV per formula unit): 5.37
Formation energy (eV per formula unit): 6.77

(20)
DFT (GGA-PBE) results for a relaxed VGaSb2I crystal.

Structure (CIF):
```
data_VGaSb2I
_cell_length_a 5.074
_cell_length_b 5.074
_cell_length_c 6.088
_cell_angle_alpha 90.00
_cell_angle_beta 90.00
_cell_angle_gamma 90.00
_symmetry_space_group_name_H-M 'P 4/m m m'
_symmetry_Int_Tables_number 123
_symmetry_space_group_name_Hall '-P 4 2'
loop_
_atom_site_label
_atom_site_type_symbol
_atom_site_fract_x
_atom_site_fract_y
_atom_site_fract_z
V1 V 0.000 0.000 0.000
Ga1 Ga 0.500 0.500 0.500
Sb1 Sb 0.000 0.500 0.000
I1 I 0.000 0.000 0.500
```

Properties
Excess energy over the best structure of this formula in the dataset (eV per formula unit): 0.00

| no. | total energy (Ry per atom) |
| --- | --- |
| 1 | -0.4004 |
| 2 | -0.4208 |
| 3 | -0.4414 |
| 4 | -0.4363 |
| 5 | -0.4811 |
| 6 | -0.4646 |
| 7 | -0.4693 |
| 8 | -0.4353 |
| 9 | -0.7578 |
| 10 | -0.3102 |
| 11 | -0.5761 |
| 12 | -0.3034 |
| 13 | -0.3064 |
| 14 | -0.4523 |
| 15 | -0.4858 |
| 16 | -0.2964 |
| 17 | -0.3027 |
| 18 | -0.1661 |
| 19 | -0.4147 |
| 20 | -0.3027 |